DFT (PBE) results for Mg3Ag2Au4 after structural relaxation.

Properties
The total energy is -2.9993 eV/atom.

The structure in POSCAR format:
```
Mg3Ag2Au4
1.0
6.707 -4.892 0.000
6.707 4.892 0.000
-0.818 0.000 4.958
Mg Ag Au
6 4 8
Cartesian
6.094 3.618 3.719
3.753 1.188 4.528
4.162 -1.188 2.049
8.434 1.188 2.909
8.843 -1.188 0.430
6.503 -3.618 1.240
5.053 3.725 0.991
7.953 3.725 1.489
4.644 -3.725 3.470
7.543 -3.725 3.968
2.719 1.257 1.718
5.592 1.261 2.339
2.310 -1.257 4.197
7.414 1.261 0.140
5.183 -1.261 4.818
10.286 1.257 0.761
7.004 -1.261 2.619
9.877 -1.257 3.240
```



DFT (PBE) results for PaPPd after structural relaxation.

Properties
The total energy is -7.6791 eV/atom.

The structure in POSCAR format:
```
PaPPd
1.0
2.031 -5.355 0.000
2.031 5.355 0.000
0.000 0.000 5.426
Pa P Pd
2 2 2
Cartesian
2.031 3.893 4.070
2.031 -3.893 1.357
2.031 3.410 1.357
2.031 -3.410 4.070
2.031 0.544 4.070
2.031 -0.544 1.357
```



DFT (PBE) results for Rb2Ca4Te after structural relaxation.

Properties
The formation energy without anion corrections comes out at -0.06 eV/atom.

The structure in POSCAR format:
```
Rb2Ca4Te
1.0
-3.041 3.041 11.336
3.041 -3.041 11.336
3.041 3.041 -11.336
Rb Ca Te
2 4 1
Cartesian
0.000 0.000 3.748
0.000 0.000 18.925
3.041 0.000 0.000
0.000 0.000 8.206
0.000 3.041 0.000
0.000 0.000 14.467
0.000 0.000 11.336
```



DFT (PBE) results for PrEu2Y after structural relaxation.

Properties
The relative energy among the computed polymorphs is 0.36 kcal/mol of atoms.

The structure in POSCAR format:
```
PrEu2Y
1.0
3.710 0.000 0.000
0.000 3.710 0.000
0.000 0.000 10.738
Pr Eu Y
1 2 1
Cartesian
0.000 0.000 0.000
1.855 1.855 2.733
1.855 1.855 8.006
0.000 0.000 5.369
```



DFT (PBE) results for AcSm4Ho5 after structural relaxation.

Properties
The relative energy among the computed polymorphs is 0.00 kcal/mol of atoms.

The structure in POSCAR format:
```
AcSm4Ho5
1.0
8.638 -1.800 0.000
8.638 1.800 0.000
-0.128 0.000 11.249
Ac Sm Ho
1 4 5
Cartesian
0.000 0.000 0.000
2.625 0.000 2.808
8.099 0.000 2.898
9.049 0.000 8.352
14.523 0.000 8.441
-0.064 0.000 5.625
5.567 0.000 0.644
5.586 0.000 5.109
11.562 0.000 6.140
11.581 0.000 10.606
```



DFT (PBE) results for SrPSe2N after structural relaxation.

Properties
The relative energy among the computed polymorphs is 0.00 kcal/mol of atoms. The formation energy without anion corrections comes out at -0.25 eV/atom.

The structure in POSCAR format:
```
SrPSe2N
1.0
5.290 0.000 0.000
0.000 5.290 0.000
0.000 0.000 3.478
Sr P Se N
1 1 2 1
Cartesian
0.000 0.000 0.000
2.645 2.645 1.739
0.000 2.645 1.739
2.645 0.000 1.739
2.645 2.645 0.000
```



DFT (PBE) results for CaSeBr2 after structural relaxation.

Properties
The relative energy among the computed polymorphs is 2.00 kcal/mol of atoms. The formation energy without anion corrections comes out at -1.15 eV/atom.

The structure in POSCAR format:
```
CaSeBr2
1.0
5.486 0.000 0.000
0.000 4.460 0.000
-1.186 0.000 5.495
Ca Se Br
1 1 2
Cartesian
0.000 0.000 0.000
2.589 2.230 4.593
-0.443 0.000 2.781
2.108 2.230 0.841
```



DFT (PBE) results for NaCrCd3 after structural relaxation.

Properties
The relative energy among the computed polymorphs is 0.00 kcal/mol of atoms.

The structure in POSCAR format:
```
NaCrCd3
1.0
5.332 0.000 0.000
0.000 5.332 0.000
0.000 0.000 5.332
Na Cr Cd
1 1 3
Cartesian
0.000 0.000 0.000
2.666 2.666 2.666
0.000 2.666 2.666
2.666 0.000 2.666
2.666 2.666 0.000
```